DFT (PBE-GGA) results for a geometry-optimized Rb8CdAu2 structure.

Cell: 9.866 9.866 6.975 Å, 97.40 97.40 111.11°
Element x y z (fractional)
Rb (0.058, 0.327, 0.586)
Rb (0.246, 0.754, 0.000)
Rb (0.327, 0.058, 0.586)
Rb (0.373, 0.373, 0.205)
Rb (0.627, 0.627, 0.795)
Rb (0.673, 0.942, 0.414)
Rb (0.754, 0.246, 0.000)
Rb (0.942, 0.673, 0.414)
Cd (0.000, 0.000, 0.000)
Au (0.319, 0.681, 0.500)
Au (0.681, 0.319, 0.500)

**Total magnetic moment**: 0.00 μB/cell
**Calculated volume**: 56.07 A^3/atom
**DOS at the Fermi energy**: 4.197 states/eV/cell
**DFT formation energy**: -0.10 eV/atom
**Crystal system**: monoclinic

***

DFT (PBE-GGA) results for a geometry-optimized RbCdAu3 structure.

Cell: 7.608 7.608 7.608 Å, 136.29 94.55 101.40°
Element x y z (fractional)
Rb (0.332, 0.082, 0.250)
Rb (0.668, 0.918, 0.750)
Cd (0.000, 0.500, 0.500)
Cd (0.500, 0.500, 0.000)
Au (0.128, 0.378, 0.750)
Au (0.206, 0.000, 0.706)
Au (0.206, 0.500, 0.206)
Au (0.794, 0.000, 0.294)
Au (0.794, 0.500, 0.794)
Au (0.872, 0.622, 0.250)

**Total magnetic moment**: 0.00 μB/cell
**Calculated volume**: 28.17 A^3/atom
**DOS at the Fermi energy**: 2.188 states/eV/cell
**DFT formation energy**: -0.21 eV/atom
**Offset from the most stable computed form**: 0 meV/atom
**Crystal system**: orthorhombic

***

DFT (PBE-GGA) results for a geometry-optimized Rb3Cd8Au3 structure.

Cell: 9.442 9.442 9.442 Å, 149.18 106.24 82.04°
Element x y z (fractional)
Rb (0.000, 0.000, 0.000)
Rb (0.335, 0.335, 0.000)
Rb (0.665, 0.665, 0.000)
Cd (0.041, 0.685, 0.356)
Cd (0.173, 0.890, 0.283)
Cd (0.330, 0.685, 0.644)
Cd (0.393, 0.110, 0.283)
Cd (0.607, 0.890, 0.717)
Cd (0.670, 0.315, 0.356)
Cd (0.827, 0.110, 0.717)
Cd (0.959, 0.315, 0.644)
Au (0.240, 0.500, 0.740)
Au (0.500, 0.000, 0.500)
Au (0.760, 0.500, 0.260)

**Total magnetic moment**: 0.00 μB/cell
**Calculated volume**: 28.94 A^3/atom
**DOS at the Fermi energy**: 6.286 states/eV/cell
**DFT formation energy**: -0.14 eV/atom
**Crystal system**: orthorhombic

***

DFT (PBE-GGA) results for a geometry-optimized Rb6Cd3Au structure.

Cell: 11.029 7.648 15.555 Å, 90.00 133.35 90.00°
Element x y z (fractional)
Rb (0.102, 0.106, 0.437)
Rb (0.102, 0.394, 0.937)
Rb (0.252, 0.575, 0.426)
Rb (0.252, 0.925, 0.926)
Rb (0.392, 0.739, 0.734)
Rb (0.392, 0.761, 0.234)
Rb (0.608, 0.239, 0.766)
Rb (0.608, 0.261, 0.266)
Rb (0.748, 0.075, 0.074)
Rb (0.748, 0.425, 0.574)
Rb (0.898, 0.606, 0.063)
Rb (0.898, 0.894, 0.563)
Cd (0.211, 0.168, 0.232)
Cd (0.211, 0.332, 0.732)
Cd (0.500, 0.000, 0.500)
Cd (0.500, 0.500, 0.000)
Cd (0.789, 0.668, 0.268)
Cd (0.789, 0.832, 0.768)
Au (0.000, 0.000, 0.000)
Au (0.000, 0.500, 0.500)

**Total magnetic moment**: 0.00 μB/cell
**Calculated volume**: 47.70 A^3/atom
**DOS at the Fermi energy**: 10.745 states/eV/cell
**DFT formation energy**: -0.04 eV/atom
**Crystal system**: monoclinic

***

DFT (PBE-GGA) results for a geometry-optimized RbCd2Au structure.

Cell: 10.492 10.492 10.492 Å, 149.19 149.19 44.13°
Element x y z (fractional)
Rb (0.375, 0.625, 0.750)
Rb (0.625, 0.375, 0.250)
Cd (0.000, 0.000, 0.000)
Cd (0.000, 0.000, 0.500)
Cd (0.000, 0.500, 0.000)
Cd (0.500, 0.000, 0.500)
Au (0.125, 0.875, 0.250)
Au (0.875, 0.125, 0.750)

**Total magnetic moment**: 0.00 μB/cell
**Calculated volume**: 37.76 A^3/atom
**DOS at the Fermi energy**: 4.346 states/eV/cell
**DFT formation energy**: -0.07 eV/atom
**Offset from the most stable computed form**: 131 meV/atom
**Crystal system**: tetragonal

***

DFT (PBE-GGA) results for a geometry-optimized Rb12Cd5Au2 structure.

Cell: 9.912 9.912 10.237 Å, 98.25 98.25 78.42°
Element x y z (fractional)
Rb (0.005, 0.660, 0.167)
Rb (0.091, 0.091, 0.169)
Rb (0.173, 0.600, 0.633)
Rb (0.340, 0.995, 0.833)
Rb (0.387, 0.387, 0.253)
Rb (0.400, 0.827, 0.367)
Rb (0.600, 0.173, 0.633)
Rb (0.613, 0.613, 0.747)
Rb (0.660, 0.005, 0.167)
Rb (0.827, 0.400, 0.367)
Rb (0.909, 0.909, 0.831)
Rb (0.995, 0.340, 0.833)
Cd (0.000, 0.000, 0.500)
Cd (0.199, 0.199, 0.524)
Cd (0.401, 0.401, 0.905)
Cd (0.599, 0.599, 0.095)
Cd (0.801, 0.801, 0.476)
Au (0.303, 0.697, 0.000)
Au (0.697, 0.303, 0.000)

**Total magnetic moment**: 0.00 μB/cell
**Calculated volume**: 50.96 A^3/atom
**DOS at the Fermi energy**: 10.308 states/eV/cell
**DFT formation energy**: -0.05 eV/atom
**Crystal system**: monoclinic

***

DFT (PBE-GGA) results for a geometry-optimized Rb3CdAu6 structure.

Cell: 8.532 8.532 8.532 Å, 125.21 125.21 81.18°
Element x y z (fractional)
Rb (0.000, 0.000, 0.000)
Rb (0.250, 0.750, 0.500)
Rb (0.750, 0.250, 0.500)
Cd (0.500, 0.500, 0.000)
Au (0.166, 0.500, 0.666)
Au (0.281, 0.281, 0.000)
Au (0.500, 0.166, 0.666)
Au (0.500, 0.834, 0.334)
Au (0.719, 0.719, 0.000)
Au (0.834, 0.500, 0.334)

**Total magnetic moment**: 0.00 μB/cell
**Calculated volume**: 39.93 A^3/atom
**DOS at the Fermi energy**: 1.916 states/eV/cell
**DFT formation energy**: 0.00 eV/atom
**Crystal system**: tetragonal

***

DFT (PBE-GGA) results for a geometry-optimized Rb2Cd3Au4 structure.

Cell: 18.100 17.613 6.240 Å, 84.37 75.56 20.07°
Element x y z (fractional)
Rb (0.038, 0.038, 0.212)
Rb (0.212, 0.212, 0.038)
Rb (0.788, 0.788, 0.962)
Rb (0.962, 0.962, 0.788)
Cd (0.140, 0.140, 0.610)
Cd (0.375, 0.375, 0.375)
Cd (0.390, 0.390, 0.860)
Cd (0.610, 0.610, 0.140)
Cd (0.625, 0.625, 0.625)
Cd (0.860, 0.860, 0.390)
Au (0.182, 0.689, 0.219)
Au (0.219, 0.410, 0.182)
Au (0.311, 0.818, 0.590)
Au (0.410, 0.219, 0.689)
Au (0.590, 0.781, 0.311)
Au (0.689, 0.182, 0.410)
Au (0.781, 0.590, 0.818)
Au (0.818, 0.311, 0.781)

**Total magnetic moment**: 0.00 μB/cell
**Calculated volume**: 33.50 A^3/atom
**DOS at the Fermi energy**: 7.714 states/eV/cell
**DFT formation energy**: -0.06 eV/atom
**Offset from the most stable computed form**: 108 meV/atom
**Crystal system**: orthorhombic

***

> Number 3 is which compound?

Rb3Cd8Au3

***

> Which value of total magnetic moment does entry 3 give?

0.00 μB/cell